Record 1
A plane-wave DFT calculation with PBE was carried out for a relaxed Pr2InPt crystal.

Structure (POSCAR):
```
Pr2InPt
1.0
-0.183 -5.062 -1.695
2.595 -3.814 2.693
-2.743 -3.648 2.774
Pr Pt In
2 1 1
Direct
0.250 0.250 0.250 Pr
0.750 0.750 0.750 Pr
0.500 0.500 0.500 Pt
0.000 0.000 0.000 In
```

Summary:
As for the total energy: -0.382 Ry/atom. The value obtained for the mass density is 9.119 g/cm3. Its energy relative to the elements is -0.62 eV/atom. As for the crystal system: cubic.

Record 2
A plane-wave DFT calculation with PBE was carried out for a relaxed PrInPt2 crystal.

Structure (POSCAR):
```
PrInPt2
1.0
-2.936 -1.242 -1.722
-0.308 -3.655 3.162
-2.821 2.709 2.856
Pr Pt In
1 2 1
Direct
0.500 0.500 0.500 Pr
0.000 0.000 0.500 Pt
0.000 0.500 0.000 Pt
0.500 0.000 0.000 In
```

Summary:
As for the total energy: -0.412 Ry/atom. The value obtained for the mass density is 12.620 g/cm3. Its energy relative to the elements is -0.71 eV/atom. As for the crystal system: tetragonal.

Record 3
A plane-wave DFT calculation with PBE was carried out for a relaxed Pr8InPt2 crystal.

Structure (POSCAR):
```
Pr8InPt2
1.0
5.722 -0.073 -0.110
-1.051 8.275 -0.256
-1.051 -3.423 7.539
Pr In Pt
8 1 2
Direct
0.933 0.921 0.674 Pr
0.933 0.674 0.921 Pr
0.308 0.607 0.607 Pr
0.500 0.753 0.247 Pr
0.500 0.247 0.753 Pr
0.692 0.393 0.393 Pr
0.067 0.326 0.079 Pr
0.067 0.079 0.326 Pr
0.500 0.000 0.000 In
0.000 0.303 0.697 Pt
0.000 0.697 0.303 Pt
```

Summary:
As for the total energy: -0.386 Ry/atom. The value obtained for the mass density is 7.744 g/cm3. Its energy relative to the elements is -0.43 eV/atom. As for the crystal system: monoclinic.

Record 4
A plane-wave DFT calculation with PBE was carried out for a relaxed Pr2InPt5Rh2 crystal.

Structure (POSCAR):
```
Pr2InPt5Rh2
1.0
4.187 0.000 0.000
0.000 9.547 0.000
0.000 0.000 9.547
Pr In Pt Rh
4 2 10 4
Direct
0.000 0.671 0.171 Pr
0.000 0.329 0.829 Pr
0.000 0.171 0.329 Pr
0.000 0.829 0.671 Pr
0.000 0.000 0.000 In
0.000 0.500 0.500 In
0.500 0.205 0.064 Pt
0.500 0.795 0.936 Pt
0.500 0.064 0.795 Pt
0.500 0.705 0.436 Pt
0.500 0.936 0.205 Pt
0.500 0.295 0.564 Pt
0.500 0.564 0.705 Pt
0.500 0.436 0.295 Pt
0.500 0.500 0.000 Pt
0.500 0.000 0.500 Pt
0.000 0.127 0.627 Rh
0.000 0.873 0.373 Rh
0.000 0.627 0.873 Rh
0.000 0.373 0.127 Rh
```

Summary:
As for the total energy: -0.470 Ry/atom. The value obtained for the mass density is 13.732 g/cm3. Its energy relative to the elements is -0.68 eV/atom. As for the crystal system: tetragonal.

Record 5
A plane-wave DFT calculation with PBE was carried out for a relaxed PrIn2Si2Pt7 crystal.

Structure (POSCAR):
```
PrIn2Si2Pt7
1.0
-0.425 -1.626 -3.666
-2.444 -2.811 1.547
-12.159 6.768 -3.170
Pr In Si Pt
1 2 2 7
Direct
0.000 0.000 0.000 Pr
0.894 0.894 0.397 In
0.106 0.106 0.603 In
0.590 0.590 0.744 Si
0.410 0.410 0.256 Si
0.500 0.500 0.000 Pt
0.380 0.380 0.419 Pt
0.620 0.620 0.581 Pt
0.943 0.442 0.164 Pt
0.442 0.943 0.164 Pt
0.558 0.057 0.836 Pt
0.057 0.558 0.836 Pt
```

Summary:
As for the total energy: -0.435 Ry/atom. The value obtained for the uncorrected formation energy is -729 kJ/mol of formula units. The value obtained for the mass density is 12.950 g/cm3. As for the crystal system: monoclinic.

Record 6
A plane-wave DFT calculation with PBE was carried out for a relaxed Pr3InSi2Pt9 crystal.

Structure (POSCAR):
```
Pr3InSi2Pt9
1.0
5.776 0.000 0.000
-2.888 5.003 0.000
0.000 0.000 11.065
Pr In Si Pt
3 1 2 9
Direct
0.333 0.667 0.603 Pr
0.000 0.000 0.000 Pr
0.667 0.333 0.397 Pr
0.000 0.000 0.500 In
0.333 0.667 0.157 Si
0.667 0.333 0.843 Si
0.837 0.163 0.696 Pt
0.837 0.673 0.696 Pt
0.327 0.163 0.696 Pt
0.673 0.837 0.304 Pt
0.163 0.327 0.304 Pt
0.163 0.837 0.304 Pt
0.500 0.000 0.000 Pt
0.000 0.500 0.000 Pt
0.500 0.500 0.000 Pt
```

Summary:
As for the total energy: -0.459 Ry/atom. The value obtained for the uncorrected formation energy is -1101 kJ/mol of formula units. The value obtained for the mass density is 12.201 g/cm3. As for the crystal system: trigonal.

Record 7
A plane-wave DFT calculation with PBE was carried out for a relaxed PrSmInPt crystal.

Structure (POSCAR):
```
PrSmInPt
1.0
5.291 0.000 0.000
2.646 4.582 0.000
2.646 1.527 4.320
Pr Sm Pt In
1 1 1 1
Direct
0.000 0.000 0.000 Pr
0.500 0.500 0.500 Sm
0.750 0.750 0.750 Pt
0.250 0.250 0.250 In
```

Summary:
As for the total energy: -0.383 Ry/atom. The value obtained for the mass density is 9.530 g/cm3. Its energy relative to the elements is -0.65 eV/atom. As for the crystal system: cubic.

Record 8
A plane-wave DFT calculation with PBE was carried out for a relaxed PrInSnPt3 crystal.

Structure (POSCAR):
```
PrInSnPt3
1.0
-3.056 -3.328 3.544
0.916 -4.501 -3.436
6.945 0.289 6.261
Pr In Sn Pt
2 2 2 6
Direct
0.750 0.291 0.583 Pr
0.250 0.709 0.417 Pr
0.250 0.103 0.206 In
0.750 0.897 0.794 In
0.250 0.403 0.806 Sn
0.750 0.597 0.194 Sn
0.250 0.254 0.507 Pt
0.000 0.246 0.000 Pt
0.500 0.754 0.000 Pt
0.500 0.246 0.000 Pt
0.000 0.754 0.000 Pt
0.750 0.746 0.493 Pt
```

Summary:
As for the total energy: -0.406 Ry/atom. The value obtained for the mass density is 10.866 g/cm3. Its energy relative to the elements is -0.58 eV/atom. As for the crystal system: orthorhombic.

It is found that the total magnetic moment values, taken in the order of the records, are 0.000; 0.000; 0.000; 0.000; 0.000; 0.000; 0.000; 0.000 μB per formula unit.
It is found that the DOS at the Fermi energy values, taken in the order of the records, are 3.95; 2.06; 13.92; 8.60; 3.16; 5.72; 3.52; 2.71 states/eV/f.u..